The following is a DFT calculation (SCAN) of a crystal of TaP2W relaxed with PBEsol.

Geometry as POSCAR:
```
TaP2W
1.0
-0.0235 2.6356 0.9494
-1.8208 -1.4794 1.5311
6.5658 -2.0429 5.8341
P W Ta
2 1 1
direct
0.5000 0.5000 0.7065
0.0000 0.0000 0.0475
0.5000 0.5000 0.2481
0.0000 0.0000 0.4979
```

## Properties
- symmetry = Cmm2, No. 35
- D(E_F) (states/eV per cell) = 1.52
- ρ (g cm⁻³) = 10.52
- energy of formation (eV per formula unit) = 0.1
- total magnetic moment (μB per cell) = 0.00
- E_tot (eV/atom) = -39.231



The following is a DFT calculation (SCAN) of a crystal of Li2MnP2O7 relaxed with PBEsol.

Geometry as POSCAR:
```
Li2MnP2O7
1.0
4.9780 0.0000 0.0000
0.0000 7.7011 0.0000
0.0000 0.0000 7.7011
O Mn P Li
14 2 4 4
direct
0.1894 0.8446 0.3446
0.1894 0.1554 0.6554
0.2540 0.4204 0.3082
0.2540 0.1918 0.0796
0.7460 0.0796 0.8082
0.7460 0.3082 0.5796
0.7460 0.9204 0.1918
0.7460 0.6918 0.4204
0.2540 0.8082 0.9204
0.7995 0.0000 0.5000
0.2005 0.5000 0.0000
0.2540 0.5796 0.6918
0.8106 0.6554 0.8446
0.8106 0.3446 0.1554
0.0000 0.5000 0.5000
0.0000 0.0000 0.0000
0.8896 0.1418 0.6418
0.8896 0.8582 0.3582
0.1104 0.6418 0.8582
0.1104 0.3582 0.1418
0.4549 0.7209 0.2209
0.5451 0.7791 0.7209
0.5451 0.2209 0.2791
0.4549 0.2791 0.7791
```

## Properties
- symmetry = P-42_1m, No. 113
- D(E_F) (states/eV per cell) = 0.00
- ρ (g cm⁻³) = 2.73
- raw formation energy (kJ/mol of formula units) = -2808
- total magnetic moment (μB per cell) = 10.00
- E_tot (eV/atom) = -9.713